The following is a GGA+U calculation of a relaxed structure of Cs3WO, from the Alexandria database.

Values from the calculation:
- space group = Pm-3m (221)
- total energy (eV/atom) = -2.762
- size of the total moment (μB per cell) = 5.0

a = 6.017 Å, b = 6.017 Å, c = 6.017 Å
α = 90.00°, β = 90.00°, γ = 90.00°
Element x y z (fractional)
Cs1 0.000 0.000 0.500
Cs2 0.000 0.500 0.000
Cs3 0.500 0.000 0.000
W1 0.500 0.500 0.500
O1 0.000 0.000 0.000